LiAlCdBi: optimized geometry, PBE-GGA.

extended XYZ file:
```
4
Lattice="0.0000 3.5899 3.5899 3.5899 0.0000 3.5899 3.5899 3.5899 0.0000" Properties=species:S:1:pos:R:3 pbc="T T T"
Li 0.0000 0.0000 0.0000
Al 3.5899 3.5899 3.5899
Cd 5.3849 5.3849 5.3849
Bi 1.7950 1.7950 1.7950
```

- Calculated total energy: -2.610 eV/atom
- ΔH_f (0 K): 0.00 eV/atom